(1)
{"formula": "CdPbAu4", "functional": "meta-GGA SCAN", "state": "PBEsol geometry", "lattice_angstrom": [[0.000, 3.906, 3.906], [3.906, 0.000, 3.906], [3.906, 3.906, 0.000]], "species": ["Cd", "Pb", "Au", "Au", "Au", "Au"], "fractional_positions": [[0.000, 0.000, 0.000], [0.250, 0.250, 0.250], [0.124, 0.625, 0.625], [0.625, 0.124, 0.625], [0.625, 0.625, 0.124], [0.625, 0.625, 0.625]], "sg": "F-43m (216)", "m_tot_mub_per_cell": 0.00, "formation_enthalpy_0k_ev_per_atom": -0.039, "density_g_cm3": 15.43}

(2)
{"formula": "MgAlAsBr2", "functional": "meta-GGA SCAN", "state": "PBEsol geometry", "lattice_angstrom": [[5.041, 0.000, 0.000], [0.000, 5.041, 0.000], [0.000, 0.000, 5.265]], "species": ["Mg", "Al", "As", "Br", "Br"], "fractional_positions": [[0.000, 0.000, 0.000], [0.500, 0.500, 0.500], [0.000, 0.000, 0.500], [0.000, 0.500, 0.000], [0.500, 0.000, 0.000]], "sg": "P4/mmm (123)", "e_form_raw_ev_per_fu": -0.54, "m_tot_mub_per_cell": 0.00, "density_g_cm3": 3.55}